# BaAl12Ni6

A relaxed structure of BaAl12Ni6 (PBE, Alexandria).

a b c (Å): 7.009 7.009 7.009
angles (deg): 104.82 104.82 104.82
Sites, in units of the cell vectors:
Ba 0.000 0.000 0.000
Al 0.877 0.123 0.500
Al 0.837 0.569 0.569
Al 0.569 0.569 0.837
Al 0.431 0.163 0.431
Al 0.431 0.431 0.163
Al 0.163 0.431 0.431
Al 0.123 0.500 0.877
Al 0.500 0.877 0.123
Al 0.123 0.877 0.500
Al 0.877 0.500 0.123
Al 0.500 0.123 0.877
Al 0.569 0.837 0.569
Ni 0.684 0.262 0.262
Ni 0.262 0.262 0.684
Ni 0.262 0.684 0.262
Ni 0.738 0.738 0.316
Ni 0.316 0.738 0.738
Ni 0.738 0.316 0.738

Symmetry: R-3m (166)
Formation energy in eV/atom: -0.461
Volume in Å³/cell: 302.2

=====

# UFeHRu2

A relaxed structure of UFeHRu2 (PBE, Alexandria).

a b c (Å): 3.918 3.997 3.997
angles (deg): 90.00 90.00 90.00
Site moments in Bohr magnetons follow the coordinates.
Sites, in units of the cell vectors:
U 0.500 0.500 0.500  -0.34
Fe 0.500 0.000 0.000  0.59
H 0.000 0.000 0.000  0.00
Ru 0.000 0.000 0.500  0.05
Ru 0.000 0.500 0.000  0.05

Symmetry: P4/mmm (123)
Volume in Å³/cell: 62.6

=====

# CaPr2Cd8

A relaxed structure of CaPr2Cd8 (PBE, Alexandria).

a b c (Å): 5.415 6.543 9.182
angles (deg): 110.95 107.24 89.75
Sites, in units of the cell vectors:
Ca 0.500 0.000 0.000
Pr 0.690 0.690 0.380
Pr 0.310 0.310 0.620
Cd 0.129 0.357 0.257
Cd 0.873 0.100 0.743
Cd 0.749 0.500 0.000
Cd 0.700 0.200 0.400
Cd 0.300 0.800 0.600
Cd 0.251 0.500 0.000
Cd 0.127 0.900 0.257
Cd 0.871 0.643 0.743

Symmetry: C2/m (12)
Formation energy in eV/atom: -0.281
Volume in Å³/cell: 288.3

=====

# NdNi4Ge2

A relaxed structure of NdNi4Ge2 (PBE, Alexandria).

a b c (Å): 4.047 4.047 7.912
angles (deg): 75.18 75.18 60.00
Sites, in units of the cell vectors:
Nd 0.000 0.000 0.000
Ni 0.443 0.443 0.672
Ni 0.143 0.143 0.572
Ni 0.557 0.557 0.328
Ni 0.857 0.857 0.428
Ge 0.246 0.246 0.261
Ge 0.754 0.754 0.739

Symmetry: R-3m (166)
Formation energy in eV/atom: -0.473
Volume in Å³/cell: 107.2

=====

Which energy belongs to each record? In order, -4.752 -8.547 -1.998 -5.776 eV per atom.